No. 1
Material: La6Y12Er
Method: DFT, PBE-GGA
State: relaxed

- Space-group type: R-3m (166)
- M_tot: 0.0 μB/f.u.
- Energy above the lowest structure with this stoichiometry: 0.00 eV/f.u.
- Formation energy: 12 kJ per mole of atoms

Unit cell a=8.819 b=8.819 c=8.819 alpha=79.13 beta=79.13 gamma=79.13
Atoms (fractional coordinates):
La1 0.268 0.268 0.663
La2 0.268 0.663 0.268
La3 0.337 0.732 0.732
La4 0.663 0.268 0.268
La5 0.732 0.337 0.732
La6 0.732 0.732 0.337
Y1 0.013 0.013 0.695
Y2 0.013 0.695 0.013
Y3 0.014 0.361 0.361
Y4 0.305 0.987 0.987
Y5 0.361 0.014 0.361
Y6 0.361 0.361 0.014
Y7 0.639 0.639 0.986
Y8 0.639 0.986 0.639
Y9 0.695 0.013 0.013
Y10 0.986 0.639 0.639
Y11 0.987 0.305 0.987
Y12 0.987 0.987 0.305
Er1 0.500 0.500 0.500

No. 2
Material: La7Y2Er2
Method: DFT, PBE-GGA
State: relaxed

- Space-group type: P-1 (2)
- M_tot: 0.0 μB/f.u.
- Energy above the lowest structure with this stoichiometry: 0.09 eV/f.u.
- Formation energy: 12 kJ per mole of atoms

Unit cell a=5.829 b=7.057 c=9.615 alpha=96.80 beta=90.04 gamma=90.01
Atoms (fractional coordinates):
La1 0.000 0.000 0.000
La2 0.000 0.452 0.826
La3 0.000 0.548 0.174
La4 0.500 0.011 0.689
La5 0.500 0.466 0.653
La6 0.500 0.534 0.347
La7 0.500 0.989 0.311
Y1 0.500 0.273 0.017
Y2 0.500 0.727 0.983
Er1 0.000 0.254 0.460
Er2 0.000 0.746 0.540

No. 3
Material: La2Y15Er2
Method: DFT, PBE-GGA
State: relaxed

- Space-group type: R-3m (166)
- M_tot: 1.9 μB/f.u.
- Formation energy: 27 kJ per mole of atoms

Unit cell a=8.814 b=8.814 c=8.814 alpha=80.69 beta=80.69 gamma=80.69
Atoms (fractional coordinates):
La1 0.171 0.171 0.171
La2 0.829 0.829 0.829
Y1 0.000 0.500 0.500
Y2 0.136 0.136 0.649
Y3 0.136 0.649 0.136
Y4 0.204 0.500 0.796
Y5 0.204 0.796 0.500
Y6 0.351 0.864 0.864
Y7 0.500 0.000 0.500
Y8 0.500 0.204 0.796
Y9 0.500 0.500 0.000
Y10 0.500 0.796 0.204
Y11 0.649 0.136 0.136
Y12 0.796 0.204 0.500
Y13 0.796 0.500 0.204
Y14 0.864 0.351 0.864
Y15 0.864 0.864 0.351
Er1 0.403 0.403 0.403
Er2 0.597 0.597 0.597

No. 4
Material: La12YEr3
Method: DFT, PBE-GGA
State: relaxed

- Space-group type: P4/mmm (123)
- M_tot: 0.0 μB/f.u.
- Formation energy: 1 kJ per mole of atoms

Unit cell a=5.200 b=5.200 c=20.792 alpha=90.00 beta=90.00 gamma=90.00
Atoms (fractional coordinates):
La1 0.000 0.000 0.000
La2 0.000 0.000 0.250
La3 0.000 0.000 0.500
La4 0.000 0.000 0.750
La5 0.000 0.500 0.125
La6 0.000 0.500 0.374
La7 0.000 0.500 0.626
La8 0.000 0.500 0.875
La9 0.500 0.000 0.125
La10 0.500 0.000 0.374
La11 0.500 0.000 0.626
La12 0.500 0.000 0.875
Y1 0.500 0.500 0.500
Er1 0.500 0.500 0.000
Er2 0.500 0.500 0.250
Er3 0.500 0.500 0.750